! PBE CaCrSe2, optimized geometry; values from VASP
&SYSTEM
  ibrav = 0, nat = 4, ntyp = 3
/
ATOMIC_SPECIES
Ca 40.08 Ca.upf
Se 78.96 Se.upf
Cr 52.00 Cr.upf
CELL_PARAMETERS angstrom
-0.060 -3.388 -2.179
2.517 -0.434 -3.116
5.203 -3.859 2.138
ATOMIC_POSITIONS crystal
Ca 0.750 0.750 0.750
Se 0.990 0.990 0.031
Se 0.510 0.510 0.469
Cr 0.250 0.250 0.250
! **Formation energy (no corrections)**: -4.2 eV per formula unit
! **ΔE to the lowest computed polymorph**: 1 meV/atom
! **Final energy**: -5.703 eV per atom